P.
## Sn2As2I (GGA-PBE)

Data for a relaxed structure of Sn2As2I. Values from VASP.

Structure (Quantum ESPRESSO input):
```
&SYSTEM
  ibrav = 0, nat = 10, ntyp = 3
/
ATOMIC_SPECIES
Sn 118.71 Sn.upf
As 74.92 As.upf
I 126.90 I.upf
ATOMIC_POSITIONS crystal
Sn 0.015 0.985 0.750
Sn 0.335 0.665 0.250
Sn 0.665 0.335 0.750
Sn 0.985 0.015 0.250
As 0.002 0.710 0.930
As 0.290 0.998 0.570
As 0.710 0.002 0.430
As 0.998 0.290 0.070
I 0.392 0.608 0.750
I 0.608 0.392 0.250
CELL_PARAMETERS angstrom
4.611 -5.706 0.000
4.611 5.706 0.000
-3.397 0.000 6.150
```

Results
Magnetization, Bohr magnetons per cell: 0.00



Q.
## Sn2As2I (GGA-PBE)

Data for a relaxed structure of Sn2As2I. Values from VASP.

Structure (Quantum ESPRESSO input):
```
&SYSTEM
  ibrav = 0, nat = 5, ntyp = 3
/
ATOMIC_SPECIES
Sn 118.71 Sn.upf
As 74.92 As.upf
I 126.90 I.upf
ATOMIC_POSITIONS crystal
Sn 0.122 0.122 0.000
Sn 0.878 0.878 0.000
As 0.250 0.750 0.500
As 0.750 0.250 0.500
I 0.500 0.500 0.000
CELL_PARAMETERS angstrom
-2.132 2.132 8.006
2.132 -2.132 8.006
2.132 2.132 -8.006
```

Results
Magnetization, Bohr magnetons per cell: 0.00



R.
## Sn2As2I (GGA-PBE)

Data for a relaxed structure of Sn2As2I. Values from VASP.

Structure (Quantum ESPRESSO input):
```
&SYSTEM
  ibrav = 0, nat = 10, ntyp = 3
/
ATOMIC_SPECIES
Sn 118.71 Sn.upf
As 74.92 As.upf
I 126.90 I.upf
ATOMIC_POSITIONS crystal
Sn 0.149 0.351 0.000
Sn 0.351 0.851 0.000
Sn 0.649 0.149 0.000
Sn 0.851 0.649 0.000
As 0.100 0.600 0.500
As 0.400 0.100 0.500
As 0.600 0.900 0.500
As 0.900 0.400 0.500
I 0.000 0.000 0.500
I 0.500 0.500 0.500
CELL_PARAMETERS angstrom
9.127 0.000 0.000
0.000 9.127 0.000
0.000 0.000 3.623
```

Results
Magnetization, Bohr magnetons per cell: 0.00



Preferred: Q; penalty for the next structure: 0.038 eV/atom.